# 1
This record from Alexandria describes Lu2CuRu after structural relaxation. The functional is GGA-PBEsol.

Lattice parameters (Å, degrees): 4.6654 4.6654 4.6654 60.00 60.00 60.00
Fractional positions:
1 Ru 0.0000 0.0000 0.0000
2 Lu 0.2500 0.2500 0.2500
3 Lu 0.7500 0.7500 0.7500
4 Cu 0.5000 0.5000 0.5000

ΔH_f (0 K): -156.7 kJ/mol of formula units
Density of states at the Fermi level: 1.8 states/eV/f.u.
Total magnetic moment: 0.0 μB per cell
Space-group type: No. 225

=====

# 2
This record from Alexandria describes ReIrW2 after structural relaxation. The functional is GGA-PBEsol.

Lattice parameters (Å, degrees): 3.8800 3.8800 4.8389 113.64 113.64 90.00
Fractional positions:
1 Ir 0.5000 0.5000 0.0000
2 Re 0.7500 0.2500 0.5000
3 W 0.0000 0.0000 0.0000
4 W 0.2500 0.7500 0.5000

ΔH_f (0 K): 0.6 kJ/mol of formula units
Density of states at the Fermi level: 3.4 states/eV/f.u.
Total magnetic moment: 0.0 μB per cell
Space-group type: No. 119

=====

# 3
This record from Alexandria describes Y2CdAs after structural relaxation. The functional is GGA-PBEsol.

Lattice parameters (Å, degrees): 3.9556 3.9556 7.9788 75.65 75.65 60.00
Fractional positions:
1 Y 0.2379 0.2379 0.2862
2 Y 0.7621 0.7621 0.7138
3 As 0.5000 0.5000 0.5000
4 Cd 0.0000 0.0000 0.0000

ΔH_f (0 K): -329.1 kJ/mol of formula units
Density of states at the Fermi level: 3.0 states/eV/f.u.
Total magnetic moment: 0.0 μB per cell
Polymorph energy (0 for the lowest one): 0 meV/atom
Space-group type: No. 166

=====

# 4
This record from Alexandria describes SrScAs after structural relaxation. The functional is GGA-PBEsol.

Lattice parameters (Å, degrees): 4.8242 4.8242 4.8242 60.00 60.00 60.00
Fractional positions:
1 As 0.7500 0.7500 0.7500
2 Sc 0.0000 0.0000 0.0000
3 Sr 0.5000 0.5000 0.5000

ΔH_f (0 K): -173.9 kJ/mol of formula units
Density of states at the Fermi level: 3.2 states/eV/f.u.
Total magnetic moment: 0.0 μB per cell
Space-group type: No. 216

=====

# 5
This record from Alexandria describes MoIr2Se after structural relaxation. The functional is GGA-PBEsol.

Lattice parameters (Å, degrees): 3.8875 3.8875 4.7999 113.89 113.89 90.00
Fractional positions:
1 Ir 0.7500 0.2500 0.5000
2 Ir 0.2500 0.7500 0.5000
3 Mo 0.5000 0.5000 0.0000
4 Se 0.0000 0.0000 0.0000

Density of states at the Fermi level: 3.1 states/eV/f.u.
Formation energy (no corrections): 0.315 eV/atom
Total magnetic moment: 0.0 μB per cell
Space-group type: No. 139

=====

# 6
This record from Alexandria describes BeO after structural relaxation. The functional is GGA-PBEsol.

Lattice parameters (Å, degrees): 2.6910 4.6126 4.6126 90.00 90.00 90.00
Fractional positions:
1 Be 0.0000 0.3267 0.6733
2 Be 0.0000 0.6733 0.3267
3 Be 0.5000 0.8267 0.8267
4 Be 0.5000 0.1733 0.1733
5 O 0.0000 0.3113 0.3113
6 O 0.0000 0.6888 0.6888
7 O 0.5000 0.1888 0.8112
8 O 0.5000 0.8112 0.1888

Density of states at the Fermi level: 0.0 states/eV/f.u.
Formation energy (no corrections): -2.766 eV/atom
Total magnetic moment: 0.0 μB per cell
Polymorph energy (0 for the lowest one): 20 meV/atom
Space-group type: No. 136

=====

# 7
This record from Alexandria describes ScRePb after structural relaxation. The functional is GGA-PBEsol.

Lattice parameters (Å, degrees): 3.2151 3.2151 6.7321 90.00 90.00 120.00
Fractional positions:
1 Pb 0.0000 0.0000 0.9794
2 Re 0.3333 0.6667 0.6555
3 Sc 0.6667 0.3333 0.3650

ΔH_f (0 K): 110.3 kJ/mol of formula units
Density of states at the Fermi level: 3.6 states/eV/f.u.
Total magnetic moment: 0.0 μB per cell
Space-group type: No. 156

=====

# 8
This record from Alexandria describes Mg2In after structural relaxation. The functional is GGA-PBEsol.

Lattice parameters (Å, degrees): 3.1901 3.1901 7.0267 103.12 103.12 90.00
Fractional positions:
1 Mg 0.1653 0.1653 0.3305
2 Mg 0.8347 0.8347 0.6695
3 In 0.5000 0.5000 0.0000

ΔH_f (0 K): -23.4 kJ/mol of formula units
Density of states at the Fermi level: 1.1 states/eV/f.u.
Total magnetic moment: 0.0 μB per cell
Space-group type: No. 139